A plane-wave DFT calculation with PBE was carried out for an optimized crystal structure of SrSe6Br12.

space-group type	R-3, No. 148
size of the total moment	0.0	Bohr magnetons per cell
E_tot	-2.425	eV/atom

Cell lengths 9.866, 9.866, 9.866 Å; angles 65.22, 65.22, 65.22 degrees
Atoms (fractional coordinates):
Sr 0.000 0.000 0.000
Se 0.106 0.252 0.498
Se 0.252 0.498 0.106
Se 0.498 0.106 0.252
Se 0.502 0.894 0.748
Se 0.748 0.502 0.894
Se 0.894 0.748 0.502
Br 0.022 0.338 0.901
Br 0.099 0.978 0.662
Br 0.153 0.579 0.465
Br 0.338 0.901 0.022
Br 0.421 0.535 0.847
Br 0.465 0.153 0.579
Br 0.535 0.847 0.421
Br 0.579 0.465 0.153
Br 0.662 0.099 0.978
Br 0.847 0.421 0.535
Br 0.901 0.022 0.338
Br 0.978 0.662 0.099